DFT (PBE) results for a geometry-optimized La8Pm6Sm structure. Values from VASP.

Summary:
energy above the lowest structure with this stoichiometry: 109 meV per atom
energy relative to the elements: 0.13 eV/atom

Geometry as Quantum ESPRESSO input:
```
&SYSTEM
  ibrav = 0, nat = 15, ntyp = 3
/
ATOMIC_SPECIES
La 138.91 La.upf
Pm 145.00 Pm.upf
Sm 150.36 Sm.upf
CELL_PARAMETERS angstrom
4.819 2.782 6.691
-4.819 2.782 6.691
0.000 -5.564 6.691
ATOMIC_POSITIONS crystal
La 0.075 0.075 0.075
La 0.156 0.583 0.270
La 0.270 0.156 0.583
La 0.417 0.730 0.844
La 0.583 0.270 0.156
La 0.730 0.844 0.417
La 0.844 0.417 0.730
La 0.925 0.925 0.925
Pm 0.066 0.766 0.605
Pm 0.234 0.395 0.934
Pm 0.395 0.934 0.234
Pm 0.605 0.066 0.766
Pm 0.766 0.605 0.066
Pm 0.934 0.234 0.395
Sm 0.500 0.500 0.500
```